Entry from Alexandria: crystalline Cr2FeNi at its relaxed geometry (PBE).

Properties
D(E_F) ... 1.47 states/eV per atom
Formation energy from the elements ... 0.5861 eV per atom
Total energy ... -7.79 eV per atom
ΔE to the lowest computed polymorph ... 536 meV/atom

```
Cr2FeNi
1.0
-1.191 4.590 4.113
-5.314 -2.887 1.683
-2.045 -0.371 4.613
Fe Cr Ni
2 4 2
direct
0.250 0.750 0.500 Fe
0.500 0.500 0.000 Fe
0.375 0.397 0.750 Cr
0.147 0.625 0.250 Cr
0.603 0.125 0.250 Cr
0.875 0.853 0.750 Cr
0.000 0.000 0.000 Ni
0.750 0.250 0.500 Ni
```